[1]
VASP calculation (PBE) on an optimized crystal structure of LuPuTcPd.

The structure in POSCAR format:
```
LuPuTcPd
1.0
-2.2950 -2.4099 3.4875
-0.4399 -4.7928 -0.2699
2.4847 -2.8221 3.0165
Tc Pu Pd Lu
1 1 1 1
direct
0.7500 0.7500 0.7500
0.5000 0.5000 0.5000
0.2500 0.2500 0.2500
0.0000 0.0000 0.0000
```

Computed properties:
* space group: F-43m
* energy of formation from the pure elements: -0.296 eV per atom
* crystal system: cubic

[2]
VASP calculation (PBE) on an optimized crystal structure of Lu2RePd.

The structure in POSCAR format:
```
Lu2RePd
1.0
-1.9972 2.1576 -1.7414
-2.3581 -0.1930 2.4655
2.8733 5.2066 3.1556
Re Lu Pd
1 2 1
direct
0.5000 0.5000 0.0000
0.0000 0.0000 0.2429
0.0000 0.0000 0.7571
0.5000 0.5000 0.5000
```

Computed properties:
* space group: P4/mmm
* energy of formation from the pure elements: -0.401 eV per atom
* crystal system: tetragonal

[3]
VASP calculation (PBE) on an optimized crystal structure of Lu2PdRh.

The structure in POSCAR format:
```
Lu2PdRh
1.0
4.7977 0.0020 0.0020
2.3963 4.1547 0.0064
2.3967 1.3795 3.9194
Lu Pd Rh
2 1 1
direct
0.5000 0.5000 0.5000
0.0000 0.0000 0.0000
0.2500 0.2500 0.2500
0.7500 0.7500 0.7500
```

Computed properties:
* space group: Fm-3m
* energy of formation from the pure elements: -0.988 eV per atom
* crystal system: cubic

[4]
VASP calculation (PBE) on an optimized crystal structure of Lu2PdRh.

The structure in POSCAR format:
```
Lu2PdRh
1.0
-0.7973 -0.4999 -3.2519
1.7710 -2.8851 0.0093
-5.5861 -3.4228 1.8958
Pd Rh Lu
1 1 2
direct
0.5000 0.5000 0.5000
0.5000 0.5000 0.0000
0.0000 0.0000 0.2412
0.0000 0.0000 0.7588
```

Computed properties:
* space group: P4/mmm
* energy of formation from the pure elements: -0.997 eV per atom
* crystal system: tetragonal

[5]
VASP calculation (PBE) on an optimized crystal structure of LuSbPdRh.

The structure in POSCAR format:
```
LuSbPdRh
1.0
4.7112 0.0000 0.0000
2.3556 4.0800 0.0000
2.3556 1.3600 3.8467
Pd Lu Sb Rh
1 1 1 1
direct
0.0000 0.0000 0.0000
0.7500 0.7500 0.7500
0.2500 0.2500 0.2500
0.5000 0.5000 0.5000
```

Computed properties:
* space group: F-43m
* energy relative to the elements, uncorrected: -0.798 eV per atom
* crystal system: cubic

[6]
VASP calculation (PBE) on an optimized crystal structure of LuScPdRh.

The structure in POSCAR format:
```
LuScPdRh
1.0
4.7146 0.0000 0.0000
2.3573 4.0830 0.0000
2.3573 1.3610 3.8494
Sc Lu Rh Pd
1 1 1 1
direct
0.0000 0.0000 0.0000
0.5000 0.5000 0.5000
0.2500 0.2500 0.2500
0.7500 0.7500 0.7500
```

Computed properties:
* space group: F-43m
* energy of formation from the pure elements: -0.962 eV per atom
* crystal system: cubic

[7]
VASP calculation (PBE) on an optimized crystal structure of SmLuPdRh.

The structure in POSCAR format:
```
SmLuPdRh
1.0
-4.6649 -1.5170 -0.1384
-1.0613 -4.5318 -1.5550
-1.5761 -3.3817 3.1878
Rh Pd Sm Lu
1 1 1 1
direct
0.5000 0.5000 0.5000
0.0000 0.0000 0.0000
0.7500 0.7500 0.7500
0.2500 0.2500 0.2500
```

Computed properties:
* space group: F-43m
* energy of formation from the pure elements: -0.856 eV per atom
* crystal system: cubic

[8]
VASP calculation (PBE) on an optimized crystal structure of LuSnPdRh.

The structure in POSCAR format:
```
LuSnPdRh
1.0
-3.5342 -2.2308 2.1386
0.8877 -3.6631 2.7990
-0.5629 0.4032 4.6434
Pd Rh Sn Lu
1 1 1 1
direct
0.2500 0.2500 0.2500
0.7500 0.7500 0.7500
0.5000 0.5000 0.5000
0.0000 0.0000 0.0000
```

Computed properties:
* space group: F-43m
* energy of formation from the pure elements: -0.855 eV per atom
* crystal system: cubic

Number 1: VASP energy -35.596 eV for the cell shown. Number 2: VASP energy -28.287 eV for the cell shown. Number 3: VASP energy -25.538 eV for the cell shown. Number 4: VASP energy -25.575 eV for the cell shown. Number 5: VASP energy -24.380 eV for the cell shown. Number 6: VASP energy -27.244 eV for the cell shown. Number 7: VASP energy -25.209 eV for the cell shown. Number 8: VASP energy -24.487 eV for the cell shown.